A relaxed Mn4Cr3 crystal, computed with GGA-PBEsol.

Results
Final energy = -9.883 eV per atom
N(E_F) = 8.81 states/eV/f.u.

a = 2.7752 Å, b = 2.7752 Å, c = 9.9184 Å
α = 98.04°, β = 98.04°, γ = 90.00°
Closest atoms and distances in Å follow each position.
Fractional positions:
Cr 0.0000 0.0000 0.0000  8 Mn 2.37
Cr 0.2869 0.2869 0.5738  4 Mn 2.37, 4 Cr 2.43
Cr 0.7131 0.7131 0.4262  4 Mn 2.37, 4 Cr 2.43
Mn 0.1452 0.1452 0.2903  4 Cr 2.37, 4 Mn 2.47
Mn 0.4316 0.4316 0.8632  4 Cr 2.37, 4 Mn 2.47
Mn 0.5684 0.5684 0.1368  4 Cr 2.37, 4 Mn 2.47
Mn 0.8548 0.8548 0.7097  4 Cr 2.37, 4 Mn 2.47